# 1
Compound: LiP2RuS
Source: Alexandria
Functional: GGA-PBEsol
Structure: optimized geometry

extended XYZ file:
```
5
Lattice="-2.8275 -0.6306 3.2820 0.6228 -4.3231 -0.2942 3.9971 0.3371 3.5084" Properties=species:S:1:pos:R:3 pbc="T T T"
Ru 0.0000 0.0000 0.0000
S 1.9985 0.1685 1.7542
Li 0.8962 -2.3083 3.2481
P 0.3114 -2.1616 -0.1471
P -1.4138 -0.3153 1.6410
```

- ΔE to the lowest computed polymorph: 0.000 eV per formula unit
- Space-group type: P4/mmm (123)
- E_form (uncorrected): 0.2232 eV/atom



# 2
Compound: LiS2F
Source: Alexandria
Functional: GGA-PBEsol
Structure: optimized geometry

extended XYZ file:
```
4
Lattice="4.1584 0.0000 0.0000 2.0792 3.6013 0.0000 2.0792 1.2004 3.3953" Properties=species:S:1:pos:R:3 pbc="T T T"
S 2.0792 1.2004 0.8488
S 6.2376 3.6013 2.5465
F 4.1584 2.4008 1.6977
Li 0.0000 0.0000 0.0000
```

- ΔE to the lowest computed polymorph: 0.000 eV per formula unit
- Space-group type: Fm-3m (225)
- E_form (uncorrected): -0.1432 eV/atom



# 3
Compound: YZnAs2Se
Source: Alexandria
Functional: GGA-PBEsol
Structure: optimized geometry

extended XYZ file:
```
5
Lattice="-0.7164 -4.5168 1.1896 2.1825 0.7404 4.1254 -4.3209 1.2293 2.0653" Properties=species:S:1:pos:R:3 pbc="T T T"
Y -1.4274 -1.2736 3.6901
As 1.0912 0.3702 2.0627
As -0.3582 -2.2584 0.5948
Zn 0.0000 0.0000 0.0000
Se -2.1604 0.6147 1.0326
```

- Space-group type: P4/mmm (123)
- E_form (uncorrected): -0.1266 eV/atom



# 4
Compound: Sc2AlAg
Source: Alexandria
Functional: GGA-PBEsol
Structure: optimized geometry

extended XYZ file:
```
4
Lattice="-2.9828 0.8463 0.2703 -0.1350 -1.3676 2.7925 2.2627 6.8659 3.4719" Properties=species:S:1:pos:R:3 pbc="T T T"
Sc 2.2014 6.6798 3.3778
Sc -0.9321 1.6413 2.4931
Al 0.0779 4.7062 4.0430
Ag 1.1918 3.6162 1.8286
```

- ΔH_f (0 K): -0.220 eV/atom
- Space-group type: P4mm (99)



# 5
Compound: Zr2ZnCu
Source: Alexandria
Functional: GGA-PBEsol
Structure: optimized geometry

extended XYZ file:
```
4
Lattice="-0.1268 -1.2797 2.7760 2.7223 -1.3108 -0.4800 3.3702 5.9402 2.8922" Properties=species:S:1:pos:R:3 pbc="T T T"
Zn 3.6772 2.8986 3.1900
Cu 1.7999 3.1725 1.5447
Zr 3.2949 5.8075 2.8276
Zr 2.2490 0.3813 1.9643
```

- ΔH_f (0 K): -0.140 eV/atom
- Space-group type: P4mm (99)



# 6
Compound: BeReTc2
Source: Alexandria
Functional: GGA-PBEsol
Structure: optimized geometry

extended XYZ file:
```
4
Lattice="2.6121 0.0131 0.0000 -0.9880 2.4180 0.0000 0.0000 0.0000 8.2679" Properties=species:S:1:pos:R:3 pbc="T T T"
Re 0.8120 1.2155 2.2158
Tc 0.0000 0.0000 8.2533
Tc 0.8120 1.2155 6.0489
Be 0.0000 0.0000 4.1519
```

- ΔH_f (0 K): 0.219 eV/atom
- Space-group type: Cmm2 (35)